A relaxed structure of BaWO4. Source: Alexandria, functional GGA+U.

Properties
Size of the total moment in μB/atom: 0.000
V in Å³/f.u.: 96.05
Energy in eV per atom: -7.303

CIF file:
```
data_BaWO4
_cell_length_a 7.660
_cell_length_b 7.324
_cell_length_c 14.843
_cell_angle_alpha 90.00
_cell_angle_beta 112.67
_cell_angle_gamma 90.00
_space_group_name_H-M_alt 'P 1 21/c 1'
_space_group_IT_number 14
_space_group_name_Hall '-P 2ybc'
loop_
_atom_site_label
_atom_site_type_symbol
_atom_site_fract_x
_atom_site_fract_y
_atom_site_fract_z
Ba1 Ba 0.003 0.149 0.338
Ba2 Ba 0.485 0.081 0.836
W1 W 0.019 0.652 0.421
W2 W 0.390 0.051 0.569
O1 O 0.134 0.565 0.570
O2 O 0.139 0.242 0.200
O3 O 0.163 0.510 0.373
O4 O 0.174 0.203 0.529
O5 O 0.180 0.645 0.964
O6 O 0.347 0.590 0.162
O7 O 0.419 0.127 0.441
O8 O 0.447 0.707 0.845
```